A relaxed Ba12H5Pt3 crystal, computed with PBE.

Computed properties:
Total energy (eV per atom): -3.30
ρ (kg/m³): 5429
V (Å³ per atom): 34.23
DOS at the Fermi energy (states/eV per atom): 0.69

Cell lengths 17.6269, 17.6269, 17.6269 Å; angles 90.00, 90.00, 90.00 degrees
Space group Ia-3d (No. 230)
Symmetry-distinct sites (fractional):
Ba 0.0291 0.0602 0.6558 x96
H 0.0000 0.0000 0.0000 x16
H 0.0000 0.2500 0.3750 x24
Pt 0.0000 0.2500 0.1250 x24